# Pm4Ho2ErTm | Alexandria via LeMat-Bulk | GGA-PBE | relaxed
data_Pm4Ho2ErTm
_cell_length_a 6.209
_cell_length_b 3.590
_cell_length_c 11.786
_cell_angle_alpha 90.00
_cell_angle_beta 100.19
_cell_angle_gamma 90.00
_space_group_name_H-M_alt 'P 1 2/m 1'
_space_group_IT_number 10
loop_
_space_group_symop_operation_xyz
'x,y,z'
'-x,-y,-z'
'-x,y,-z'
'x,-y,z'
loop_
_atom_site_label
_atom_site_type_symbol
_atom_site_fract_x
_atom_site_fract_y
_atom_site_fract_z
Pm1 Pm 0.249 0.000 0.249
Pm2 Pm 0.250 0.500 0.750
Ho1 Ho 0.500 0.000 0.000
Ho2 Ho 0.500 0.500 0.500
Er1 Er 0.000 0.000 0.500
Tm1 Tm 0.000 0.500 0.000
# Energy of formation from the pure elements   16.8 meV per atom

# IBr2Cl | Alexandria via LeMat-Bulk | GGA-PBE | relaxed
data_IBr2Cl
_cell_length_a 4.5559
_cell_length_b 4.5559
_cell_length_c 27.1202
_cell_angle_alpha 90.00
_cell_angle_beta 90.00
_cell_angle_gamma 120.00
_space_group_name_H-M_alt 'R -3 m'
_space_group_IT_number 166
_space_group_name_Hall '-R 3 2"'
loop_
_atom_site_label
_atom_site_type_symbol
_atom_site_fract_x
_atom_site_fract_y
_atom_site_fract_z
I1 I 0.0000 0.0000 0.0000
Br1 Br 0.0000 0.0000 0.0980
Cl1 Cl 0.0000 0.0000 0.5000
# ΔE to the lowest computed polymorph   249 meV per atom
# E_form (uncorrected)   0.276 eV per atom

# Tc3HW | Alexandria via LeMat-Bulk | GGA-PBE | relaxed
data_Tc3HW
_cell_length_a 4.747
_cell_length_b 4.747
_cell_length_c 4.747
_cell_angle_alpha 90.00
_cell_angle_beta 90.00
_cell_angle_gamma 90.00
_space_group_name_H-M_alt 'P m -3 m'
_space_group_IT_number 221
_space_group_name_Hall '-P 4 2 3'
loop_
_atom_site_label
_atom_site_type_symbol
_atom_site_fract_x
_atom_site_fract_y
_atom_site_fract_z
Tc1 Tc 0.000 0.000 0.500
H1 H 0.500 0.500 0.500
W1 W 0.000 0.000 0.000
# ΔE to the lowest computed polymorph   2370 meV per atom

# La6Pm2In | Alexandria via LeMat-Bulk | GGA-PBE | relaxed
data_La6Pm2In
_cell_length_a 9.8948
_cell_length_b 9.8948
_cell_length_c 3.7467
_cell_angle_alpha 90.00
_cell_angle_beta 90.00
_cell_angle_gamma 120.00
_space_group_name_H-M_alt 'P -6 2 m'
_space_group_IT_number 189
_space_group_name_Hall 'P -6 -2'
loop_
_atom_site_label
_atom_site_type_symbol
_atom_site_fract_x
_atom_site_fract_y
_atom_site_fract_z
La1 La 0.0000 0.2827 0.0000
La2 La 0.0000 0.6349 0.5000
Pm1 Pm 0.3333 0.6667 0.0000
In1 In 0.0000 0.0000 0.5000
# ΔE to the lowest computed polymorph   0 meV per atom
# Energy of formation from the pure elements   -104.5 meV per atom

# Pr4Rh2Pb5 | Alexandria via LeMat-Bulk | GGA-PBE | relaxed
data_Pr4Rh2Pb5
_cell_length_a 8.171
_cell_length_b 3.874
_cell_length_c 9.814
_cell_angle_alpha 90.00
_cell_angle_beta 92.96
_cell_angle_gamma 90.00
_space_group_name_H-M_alt 'P 1 2/m 1'
_space_group_IT_number 10
loop_
_space_group_symop_operation_xyz
'x,y,z'
'-x,-y,-z'
'-x,y,-z'
'x,-y,z'
loop_
_atom_site_label
_atom_site_type_symbol
_atom_site_fract_x
_atom_site_fract_y
_atom_site_fract_z
Pr1 Pr 0.198 0.000 0.343
Pr2 Pr 0.210 0.000 0.925
Rh1 Rh 0.083 0.500 0.135
Pb1 Pb 0.139 0.500 0.634
Pb2 Pb 0.451 0.500 0.160
Pb3 Pb 0.500 0.500 0.500
# Energy of formation from the pure elements   -537.9 meV per atom

# Tc2Os | Alexandria via LeMat-Bulk | GGA-PBE | relaxed
data_Tc2Os
_cell_length_a 8.276
_cell_length_b 4.783
_cell_length_c 5.171
_cell_angle_alpha 90.00
_cell_angle_beta 122.18
_cell_angle_gamma 90.00
_space_group_name_H-M_alt 'C 1 2/c 1'
_space_group_IT_number 15
loop_
_space_group_symop_operation_xyz
'x,y,z'
'-x,-y,-z'
'-x,y,-z+1/2'
'x,-y,z+1/2'
'x+1/2,y+1/2,z'
'-x+1/2,-y+1/2,-z'
'-x+1/2,y+1/2,-z+1/2'
'x+1/2,-y+1/2,z+1/2'
loop_
_atom_site_label
_atom_site_type_symbol
_atom_site_fract_x
_atom_site_fract_y
_atom_site_fract_z
Tc1 Tc 0.166 0.084 0.246
Os1 Os 0.000 0.417 0.750
# ΔE to the lowest computed polymorph   2 meV per atom
# Energy of formation from the pure elements   -62.5 meV per atom

# AcSm2Zn2Ge2 | Alexandria via LeMat-Bulk | GGA-PBE | relaxed
data_AcSm2Zn2Ge2
_cell_length_a 4.2365
_cell_length_b 4.2365
_cell_length_c 35.4197
_cell_angle_alpha 90.00
_cell_angle_beta 90.00
_cell_angle_gamma 120.00
_space_group_name_H-M_alt 'R -3 m'
_space_group_IT_number 166
_space_group_name_Hall '-R 3 2"'
loop_
_atom_site_label
_atom_site_type_symbol
_atom_site_fract_x
_atom_site_fract_y
_atom_site_fract_z
Ac1 Ac 0.0000 0.0000 0.0000
Sm1 Sm 0.0000 0.0000 0.1248
Zn1 Zn 0.0000 0.0000 0.3975
Ge1 Ge 0.0000 0.0000 0.2626
# Energy of formation from the pure elements   -454.4 meV per atom

# BaPS2I | Alexandria via LeMat-Bulk | GGA-PBE | relaxed
data_BaPS2I
_cell_length_a 6.167
_cell_length_b 6.167
_cell_length_c 6.497
_cell_angle_alpha 90.00
_cell_angle_beta 90.00
_cell_angle_gamma 90.00
_space_group_name_H-M_alt 'P 4/m m m'
_space_group_IT_number 123
_space_group_name_Hall '-P 4 2'
loop_
_atom_site_label
_atom_site_type_symbol
_atom_site_fract_x
_atom_site_fract_y
_atom_site_fract_z
Ba1 Ba 0.000 0.000 0.000
P1 P 0.000 0.000 0.500
S1 S 0.000 0.500 0.000
I1 I 0.500 0.500 0.500
# ΔE to the lowest computed polymorph   767 meV per atom
# E_form (uncorrected)   0.706 eV per atom

# Ac2Zn2Pt | Alexandria via LeMat-Bulk | GGA-PBE | relaxed
data_Ac2Zn2Pt
_cell_length_a 11.576
_cell_length_b 4.397
_cell_length_c 12.106
_cell_angle_alpha 90.00
_cell_angle_beta 117.60
_cell_angle_gamma 90.00
_space_group_name_H-M_alt 'C 1 2/m 1'
_space_group_IT_number 12
loop_
_space_group_symop_operation_xyz
'x,y,z'
'-x,-y,-z'
'-x,y,-z'
'x,-y,z'
'x+1/2,y+1/2,z'
'-x+1/2,-y+1/2,-z'
'-x+1/2,y+1/2,-z'
'x+1/2,-y+1/2,z'
loop_
_atom_site_label
_atom_site_type_symbol
_atom_site_fract_x
_atom_site_fract_y
_atom_site_fract_z
Ac1 Ac 0.086 0.000 0.384
Ac2 Ac 0.205 0.500 0.138
Zn1 Zn 0.037 0.000 0.916
Zn2 Zn 0.126 0.500 0.619
Pt1 Pt 0.074 0.500 0.816
# Energy of formation from the pure elements   -619.9 meV per atom

# LiCaSi2Rh | Alexandria via LeMat-Bulk | GGA-PBE | relaxed
data_LiCaSi2Rh
_cell_length_a 4.325
_cell_length_b 4.325
_cell_length_c 4.660
_cell_angle_alpha 90.00
_cell_angle_beta 90.00
_cell_angle_gamma 90.00
_space_group_name_H-M_alt 'P 4/m m m'
_space_group_IT_number 123
_space_group_name_Hall '-P 4 2'
loop_
_atom_site_label
_atom_site_type_symbol
_atom_site_fract_x
_atom_site_fract_y
_atom_site_fract_z
Li1 Li 0.000 0.000 0.000
Ca1 Ca 0.000 0.000 0.500
Si1 Si 0.000 0.500 0.000
Rh1 Rh 0.500 0.500 0.500
# E_form (uncorrected)   0.486 eV per atom

# LiErTm2 | Alexandria via LeMat-Bulk | GGA-PBE | relaxed
data_LiErTm2
_cell_length_a 3.4586
_cell_length_b 3.4586
_cell_length_c 33.0630
_cell_angle_alpha 90.00
_cell_angle_beta 90.00
_cell_angle_gamma 120.00
_space_group_name_H-M_alt 'R 3 m'
_space_group_IT_number 160
_space_group_name_Hall 'R 3 -2"'
loop_
_atom_site_label
_atom_site_type_symbol
_atom_site_fract_x
_atom_site_fract_y
_atom_site_fract_z
Li1 Li 0.0000 0.0000 0.0000
Er1 Er 0.0000 0.0000 0.1664
Tm1 Tm 0.0000 0.0000 0.4153
Tm2 Tm 0.0000 0.0000 0.5843
# ΔE to the lowest computed polymorph   25 meV per atom
# Energy of formation from the pure elements   99.8 meV per atom

# MnCd2Se2 | Alexandria via LeMat-Bulk | GGA-PBE | relaxed
data_MnCd2Se2
_cell_length_a 5.967
_cell_length_b 5.967
_cell_length_c 6.334
_cell_angle_alpha 90.00
_cell_angle_beta 90.00
_cell_angle_gamma 90.00
_space_group_name_H-M_alt 'P 4/m b m'
_space_group_IT_number 127
_space_group_name_Hall '-P 4 2ab'
loop_
_atom_site_label
_atom_site_type_symbol
_atom_site_fract_x
_atom_site_fract_y
_atom_site_fract_z
Mn1 Mn 0.000 0.000 0.000
Cd1 Cd 0.187 0.313 0.500
Se1 Se 0.151 0.651 0.000
# ΔE to the lowest computed polymorph   0 meV per atom
# E_form (uncorrected)   0.118 eV per atom

# ZnCuTc | Alexandria via LeMat-Bulk | GGA-PBE | relaxed
data_ZnCuTc
_cell_length_a 4.300
_cell_length_b 2.714
_cell_length_c 14.017
_cell_angle_alpha 90.00
_cell_angle_beta 90.00
_cell_angle_gamma 90.00
_space_group_name_H-M_alt 'A m m 2'
_space_group_IT_number 38
loop_
_space_group_symop_operation_xyz
'x,y,z'
'-x,-y,z'
'-x,y,z'
'x,-y,z'
'x,y+1/2,z+1/2'
'-x,-y+1/2,z+1/2'
'-x,y+1/2,z+1/2'
'x,-y+1/2,z+1/2'
loop_
_atom_site_label
_atom_site_type_symbol
_atom_site_fract_x
_atom_site_fract_y
_atom_site_fract_z
Zn1 Zn 0.000 0.000 0.000
Zn2 Zn 0.000 0.000 0.337
Cu1 Cu 0.500 0.000 0.240
Cu2 Cu 0.500 0.000 0.901
Tc1 Tc 0.000 0.000 0.668
Tc2 Tc 0.500 0.000 0.573
# ΔE to the lowest computed polymorph   90 meV per atom
# Energy of formation from the pure elements   59.3 meV per atom

# KInPt | Alexandria via LeMat-Bulk | GGA-PBE | relaxed
data_KInPt
_cell_length_a 4.5754
_cell_length_b 4.5754
_cell_length_c 5.1037
_cell_angle_alpha 90.00
_cell_angle_beta 90.00
_cell_angle_gamma 120.00
_space_group_name_H-M_alt 'P -6 m 2'
_space_group_IT_number 187
_space_group_name_Hall 'P -6 2'
loop_
_atom_site_label
_atom_site_type_symbol
_atom_site_fract_x
_atom_site_fract_y
_atom_site_fract_z
K1 K 0.0000 0.0000 0.0000
In1 In 0.3333 0.6667 0.5000
Pt1 Pt 0.6667 0.3333 0.5000
# Energy of formation from the pure elements   -249.1 meV per atom

# NaY2Mo | Alexandria via LeMat-Bulk | GGA-PBE | relaxed
data_NaY2Mo
_cell_length_a 8.122
_cell_length_b 8.122
_cell_length_c 11.465
_cell_angle_alpha 90.00
_cell_angle_beta 90.00
_cell_angle_gamma 90.00
_space_group_name_H-M_alt 'I 41/a m d'
_space_group_IT_number 141
loop_
_space_group_symop_operation_xyz
'x,y,z'
'-x,-y,-z'
'-y+1/4,x+3/4,z+1/4'
'y+1/4,-x+3/4,-z+1/4'
'-x+1/2,-y,z+1/2'
'x+1/2,y,-z+1/2'
'y+1/4,-x+1/4,z+3/4'
'-y+1/4,x+1/4,-z+3/4'
'x,-y,-z'
'-x,y,z'
'-y+1/4,-x+1/4,-z+3/4'
'y+1/4,x+1/4,z+3/4'
'-x+1/2,y,-z+1/2'
'x+1/2,-y,z+1/2'
'y+1/4,x+3/4,-z+1/4'
'-y+1/4,-x+3/4,z+1/4'
'x+1/2,y+1/2,z+1/2'
'-x+1/2,-y+1/2,-z+1/2'
'-y+3/4,x+1/4,z+3/4'
'y+3/4,-x+1/4,-z+3/4'
'-x,-y+1/2,z'
'x,y+1/2,-z'
'y+3/4,-x+3/4,z+1/4'
'-y+3/4,x+3/4,-z+1/4'
'x+1/2,-y+1/2,-z+1/2'
'-x+1/2,y+1/2,z+1/2'
'-y+3/4,-x+3/4,-z+1/4'
'y+3/4,x+3/4,z+1/4'
'-x,y+1/2,-z'
'x,-y+1/2,z'
'y+3/4,x+1/4,-z+3/4'
'-y+3/4,-x+1/4,z+3/4'
loop_
_atom_site_label
_atom_site_type_symbol
_atom_site_fract_x
_atom_site_fract_y
_atom_site_fract_z
Na1 Na 0.000 0.250 0.375
Y1 Y 0.000 0.000 0.000
Mo1 Mo 0.000 0.250 0.875
# ΔE to the lowest computed polymorph   680 meV per atom
# Energy of formation from the pure elements   1184.2 meV per atom

# BaCa2Ta | Alexandria via LeMat-Bulk | GGA-PBE | relaxed
data_BaCa2Ta
_cell_length_a 4.961
_cell_length_b 4.961
_cell_length_c 24.155
_cell_angle_alpha 90.00
_cell_angle_beta 90.00
_cell_angle_gamma 90.00
_space_group_name_H-M_alt 'I -4 2 d'
_space_group_IT_number 122
_space_group_name_Hall 'I -4 2bw'
loop_
_atom_site_label
_atom_site_type_symbol
_atom_site_fract_x
_atom_site_fract_y
_atom_site_fract_z
Ba1 Ba 0.000 0.000 0.000
Ca1 Ca 0.223 0.250 0.625
Ta1 Ta 0.000 0.000 0.500
# ΔE to the lowest computed polymorph   449 meV per atom
# Energy of formation from the pure elements   1104.5 meV per atom

# Pr2ScGe3Pd4 | Alexandria via LeMat-Bulk | GGA-PBE | relaxed
data_Pr2ScGe3Pd4
_cell_length_a 4.281
_cell_length_b 4.281
_cell_length_c 10.976
_cell_angle_alpha 90.00
_cell_angle_beta 90.00
_cell_angle_gamma 90.00
_space_group_name_H-M_alt 'P -4 m 2'
_space_group_IT_number 115
loop_
_space_group_symop_operation_xyz
'x,y,z'
'y,-x,-z'
'-x,-y,z'
'-y,x,-z'
'-x,y,z'
'-y,-x,-z'
'x,-y,z'
'y,x,-z'
loop_
_atom_site_label
_atom_site_type_symbol
_atom_site_fract_x
_atom_site_fract_y
_atom_site_fract_z
Pr1 Pr 0.000 0.500 0.231
Sc1 Sc 0.000 0.000 0.500
Ge1 Ge 0.000 0.500 0.873
Ge2 Ge 0.500 0.500 0.500
Pd1 Pd 0.000 0.000 0.000
Pd2 Pd 0.000 0.500 0.646
Pd3 Pd 0.500 0.500 0.000
# Energy of formation from the pure elements   -854.1 meV per atom

# ZnInB | Alexandria via LeMat-Bulk | GGA-PBE | relaxed
data_ZnInB
_cell_length_a 3.173
_cell_length_b 6.138
_cell_length_c 6.222
_cell_angle_alpha 61.23
_cell_angle_beta 76.04
_cell_angle_gamma 82.87
_space_group_name_H-M_alt 'P 1'
_space_group_IT_number 1
loop_
_space_group_symop_operation_xyz
'x,y,z'
loop_
_atom_site_label
_atom_site_type_symbol
_atom_site_fract_x
_atom_site_fract_y
_atom_site_fract_z
Zn1 Zn 0.000 0.000 0.000
Zn2 Zn 0.348 0.856 0.378
In1 In 0.458 0.432 0.951
In2 In 0.888 0.424 0.429
B1 B 0.421 0.903 0.705
B2 B 0.927 0.952 0.674
# Energy of formation from the pure elements   252.8 meV per atom

# Pr3Nd5As8 | Alexandria via LeMat-Bulk | GGA-PBE | relaxed
data_Pr3Nd5As8
_cell_length_a 8.5727
_cell_length_b 8.5727
_cell_length_c 20.9992
_cell_angle_alpha 90.00
_cell_angle_beta 90.00
_cell_angle_gamma 120.00
_space_group_name_H-M_alt 'R -3 m'
_space_group_IT_number 166
_space_group_name_Hall '-R 3 2"'
loop_
_atom_site_label
_atom_site_type_symbol
_atom_site_fract_x
_atom_site_fract_y
_atom_site_fract_z
Pr1 Pr 0.0000 0.5000 0.0000
Nd1 Nd 0.0000 0.0000 0.0000
Nd2 Nd 0.0000 0.0000 0.5000
Nd3 Nd 0.0000 0.5000 0.5000
As1 As 0.0000 0.0000 0.2493
As2 As 0.0009 0.5004 0.7504
# Energy of formation from the pure elements   -1508.0 meV per atom

# K2As | Alexandria via LeMat-Bulk | GGA-PBE | relaxed
data_K2As
_cell_length_a 5.631
_cell_length_b 5.642
_cell_length_c 7.968
_cell_angle_alpha 90.00
_cell_angle_beta 90.00
_cell_angle_gamma 90.00
_space_group_name_H-M_alt 'I m m m'
_space_group_IT_number 71
_space_group_name_Hall '-I 2 2'
loop_
_atom_site_label
_atom_site_type_symbol
_atom_site_fract_x
_atom_site_fract_y
_atom_site_fract_z
K1 K 0.000 0.000 0.250
As1 As 0.000 0.500 0.000
# Energy of formation from the pure elements   -195.3 meV per atom